No. 1
Entry from Alexandria: a relaxed CeDyY6 crystal (GGA-PBE).

Calculated values
VASP energy ... -5.99 eV/atom
Symmetry ... R-3 (148)

```
CeDyY6
1.0
4.800 2.771 3.325
-4.800 2.771 3.325
0.000 -5.543 3.325
Ce Dy Y
1 1 6
Direct
0.000 0.000 0.000 Ce
0.500 0.500 0.500 Dy
0.035 0.453 0.748 Y
0.252 0.965 0.547 Y
0.453 0.748 0.035 Y
0.547 0.252 0.965 Y
0.748 0.035 0.453 Y
0.965 0.547 0.252 Y
```

No. 2
Entry from Alexandria: a relaxed CeDy15Y4 crystal (GGA-PBE).

Calculated values
VASP energy ... -5.01 eV/atom
Symmetry ... P4/mmm (123)

```
CeDy15Y4
1.0
5.018 0.000 0.000
0.000 5.018 0.000
0.000 0.000 25.081
Ce Dy Y
1 15 4
Direct
0.000 0.000 0.000 Ce
0.000 0.500 0.099 Dy
0.000 0.500 0.300 Dy
0.000 0.500 0.500 Dy
0.000 0.500 0.700 Dy
0.000 0.500 0.901 Dy
0.500 0.000 0.099 Dy
0.500 0.000 0.300 Dy
0.500 0.000 0.500 Dy
0.500 0.000 0.700 Dy
0.500 0.000 0.901 Dy
0.500 0.500 0.000 Dy
0.500 0.500 0.201 Dy
0.500 0.500 0.400 Dy
0.500 0.500 0.600 Dy
0.500 0.500 0.799 Dy
0.000 0.000 0.199 Y
0.000 0.000 0.400 Y
0.000 0.000 0.600 Y
0.000 0.000 0.801 Y
```

No. 3
Entry from Alexandria: a relaxed CeDyY crystal (GGA-PBE).

Calculated values
VASP energy ... -5.55 eV/atom
Symmetry ... P-6m2 (187)

```
CeDyY
1.0
5.586 0.000 0.000
-2.793 4.838 0.000
0.000 0.000 3.467
Ce Dy Y
1 1 1
Direct
0.000 0.000 0.000 Ce
0.667 0.333 0.000 Dy
0.333 0.667 0.500 Y
```

No. 4
Entry from Alexandria: a relaxed CeDy8Y2 crystal (GGA-PBE).

Calculated values
VASP energy ... -5.02 eV/atom
Symmetry ... C2/m (12)

```
CeDy8Y2
1.0
9.048 -2.507 0.000
9.048 2.507 0.000
-2.090 0.000 7.655
Ce Dy Y
1 8 2
Direct
0.000 0.000 0.000 Ce
0.090 0.090 0.454 Dy
0.180 0.180 0.908 Dy
0.364 0.364 0.821 Dy
0.455 0.455 0.270 Dy
0.545 0.545 0.730 Dy
0.636 0.636 0.179 Dy
0.820 0.820 0.092 Dy
0.910 0.910 0.546 Dy
0.272 0.272 0.362 Y
0.728 0.728 0.638 Y
```

Calculated density? In order: 5.23, 7.71, 6.94, 7.74 g cm⁻³.
Volume? In order: 33.17, 31.58, 31.23, 31.57 Å³/atom.
Formation enthalpy at 0 K? In order: 0.18, 0.03, 0.12, 0.04 eV/atom.